Entry 1:
DFT (PBE) results for a relaxed RbLi2InAu crystal.

Cell lengths 5.3570, 5.3570, 5.3034 Å; angles 90.00, 90.00, 90.00 degrees
Fractional coordinates of all 5 atoms:
1 Rb 0.0000 0.0000 0.0000
2 Li 0.0000 0.5000 0.5000
3 Li 0.5000 0.0000 0.5000
4 In 0.5000 0.5000 0.0000
5 Au 0.5000 0.5000 0.5000

Final energy = -2.329 eV per atom
ΔE_f = -0.17 eV/atom
Space-group type = P4/mmm (123)

Entry 2:
DFT (PBE) results for a relaxed Cd3BiI crystal.

Cell lengths 5.8713, 5.8713, 5.8713 Å; angles 90.00, 90.00, 90.00 degrees
Fractional coordinates of all 5 atoms:
1 Cd 0.0000 0.0000 0.5000
2 Cd 0.0000 0.5000 0.0000
3 Cd 0.5000 0.0000 0.0000
4 Bi 0.0000 0.0000 0.0000
5 I 0.5000 0.5000 0.5000

Final energy = -1.581 eV per atom
Space-group type = Pm-3m (221)

Entry 3:
DFT (PBE) results for a relaxed MgBiO crystal.

Cell lengths 6.0904, 6.0904, 6.0904 Å; angles 51.49, 51.49, 51.49 degrees
Fractional coordinates of all 6 atoms:
1 Mg 0.1014 0.1014 0.1014
2 Mg 0.8986 0.8986 0.8986
3 Bi 0.3578 0.3578 0.3578
4 Bi 0.6422 0.6422 0.6422
5 O 0.2199 0.2199 0.2199
6 O 0.7801 0.7801 0.7801

Final energy = -4.193 eV per atom
Space-group type = R-3m (166)

Entry 4:
DFT (PBE) results for a relaxed Na5B7C3 crystal.

Cell lengths 7.6688, 7.6688, 10.3543 Å; angles 122.01, 122.01, 37.86 degrees
Fractional coordinates of all 30 atoms:
1 Na 0.0021 0.0021 0.2544
2 Na 0.1928 0.2030 0.7460
3 Na 0.2014 0.2014 0.2546
4 Na 0.3960 0.4062 0.2538
5 Na 0.3995 0.3965 0.7449
6 Na 0.5938 0.6040 0.7462
7 Na 0.6035 0.6005 0.2551
8 Na 0.7970 0.8072 0.2540
9 Na 0.7986 0.7986 0.7454
10 Na 0.9979 0.9979 0.7456
11 B 0.0129 0.3941 0.0001
12 B 0.0325 0.3672 0.4997
13 B 0.1725 0.8275 0.0000
14 B 0.2326 0.5676 0.5001
15 B 0.2405 0.5529 0.9998
16 B 0.3443 0.0447 0.0002
17 B 0.4324 0.7674 0.4999
18 B 0.4471 0.7595 0.0002
19 B 0.5937 0.2255 0.9999
20 B 0.6059 0.9871 0.9999
21 B 0.6328 0.9675 0.5003
22 B 0.7745 0.4063 0.0001
23 B 0.8325 0.1675 0.5000
24 B 0.9553 0.6557 0.9998
25 C 0.1658 0.8342 0.5000
26 C 0.3660 0.0340 0.5001
27 C 0.5662 0.2344 0.5006
28 C 0.7656 0.4338 0.4994
29 C 0.8493 0.1507 0.0000
30 C 0.9660 0.6340 0.4999

Final energy = -5.258 eV per atom
ΔE_f = 0.14 eV/atom
Space-group type = C2 (5)

Entry 5:
DFT (PBE) results for a relaxed MgBeHg2 crystal.

Cell lengths 8.4315, 3.5039, 5.6582 Å; angles 90.00, 109.42, 90.00 degrees
Fractional coordinates of all 8 atoms:
1 Mg 0.0000 0.0000 0.0000
2 Mg 0.5000 0.5000 0.0000
3 Be 0.0000 0.5000 0.5000
4 Be 0.5000 0.0000 0.5000
5 Hg 0.2237 0.0000 0.7096
6 Hg 0.2763 0.5000 0.2904
7 Hg 0.7237 0.5000 0.7096
8 Hg 0.7763 0.0000 0.2904

Final energy = -1.274 eV per atom
ΔE_f = 0.21 eV/atom
Space-group type = C2/m (12)

Entry 6:
DFT (PBE) results for a relaxed Y12Ho7Tm crystal.

Cell lengths 8.6787, 8.6787, 8.6787 Å; angles 95.04, 95.04, 95.04 degrees
Fractional coordinates of all 20 atoms:
1 Y 0.0170 0.0812 0.3499
2 Y 0.0812 0.3499 0.0170
3 Y 0.1908 0.7490 0.3182
4 Y 0.2510 0.6818 0.8092
5 Y 0.3182 0.1908 0.7490
6 Y 0.3499 0.0170 0.0812
7 Y 0.6501 0.9830 0.9188
8 Y 0.6818 0.8092 0.2510
9 Y 0.7490 0.3182 0.1908
10 Y 0.8092 0.2510 0.6818
11 Y 0.9188 0.6501 0.9830
12 Y 0.9830 0.9188 0.6501
13 Ho 0.0000 0.0000 0.0000
14 Ho 0.1467 0.4138 0.4752
15 Ho 0.4138 0.4752 0.1467
16 Ho 0.4752 0.1467 0.4138
17 Ho 0.5248 0.8533 0.5862
18 Ho 0.5862 0.5248 0.8533
19 Ho 0.8533 0.5862 0.5248
20 Tm 0.5000 0.5000 0.5000

Final energy = -5.419 eV per atom
ΔE_f = 0.29 eV/atom
Space-group type = R-3 (148)

Entry 7:
DFT (PBE) results for a relaxed CuP2HO6 crystal.

Cell lengths 7.7597, 7.7597, 4.6843 Å; angles 97.75, 97.75, 92.38 degrees
Fractional coordinates of all 20 atoms:
1 Cu 0.0837 0.9163 0.7500
2 Cu 0.9163 0.0837 0.2500
3 P 0.2257 0.3868 0.3177
4 P 0.3868 0.2257 0.8177
5 P 0.6132 0.7743 0.1823
6 P 0.7743 0.6132 0.6823
7 H 0.3217 0.6783 0.2500
8 H 0.6783 0.3217 0.7500
9 O 0.0630 0.2729 0.2309
10 O 0.2088 0.5759 0.2852
11 O 0.2729 0.0630 0.7309
12 O 0.3111 0.3815 0.6487
13 O 0.3815 0.3111 0.1487
14 O 0.4241 0.7912 0.2148
15 O 0.5759 0.2088 0.7852
16 O 0.6185 0.6889 0.8513
17 O 0.6889 0.6185 0.3513
18 O 0.7271 0.9370 0.2691
19 O 0.7912 0.4241 0.7148
20 O 0.9370 0.7271 0.7691

Final energy = -6.463 eV per atom
Space-group type = C2/c (15)

Entry 8:
DFT (PBE) results for a relaxed Pr6Co2PtCl3 crystal.

Cell lengths 7.0795, 7.0795, 7.9145 Å; angles 98.49, 98.49, 120.10 degrees
Fractional coordinates of all 12 atoms:
1 Pr 0.0830 0.4325 0.7975
2 Pr 0.2170 0.2170 0.2025
3 Pr 0.4325 0.0830 0.7975
4 Pr 0.5675 0.9170 0.2025
5 Pr 0.7830 0.7830 0.7975
6 Pr 0.9170 0.5675 0.2025
7 Co 0.1664 0.8336 0.0000
8 Co 0.8336 0.1664 0.0000
9 Pt 0.5000 0.5000 0.0000
10 Cl 0.0000 0.0000 0.5000
11 Cl 0.3286 0.6714 0.5000
12 Cl 0.6714 0.3286 0.5000

Final energy = -5.535 eV per atom
Space-group type = C2/m (12)